[1]
# LiRu3C PBE relaxed
# - calculated density (g/cm³) = 8.14
# - V (Å³ per cell) = 65.7
# - energy above the lowest structure with this stoichiometry (eV/atom) = 2.024
# - formation enthalpy at 0 K (eV/f.u.) = 11.5
data_LiRu3C
_chemical_formula_sum 'Li1 Ru3 C1'
_space_group_name_H-M_alt 'P m -3 m'
_space_group_IT_number 221
_space_group_name_Hall '-P 4 2 3'
_cell_length_a 4.035
_cell_length_b 4.035
_cell_length_c 4.035
_cell_angle_alpha 90.00
_cell_angle_beta 90.00
_cell_angle_gamma 90.00
loop_
_atom_site_label
_atom_site_type_symbol
_atom_site_fract_x
_atom_site_fract_y
_atom_site_fract_z
Li1 Li 0.000 0.000 0.000
Ru1 Ru 0.000 0.000 0.500
C1 C 0.500 0.500 0.500

=====

[2]
# Li2RuC2 PBE relaxed
# - calculated density (g/cm³) = 4.90
# - V (Å³ per cell) = 94.2
# - formation enthalpy at 0 K (eV/f.u.) = 1.2
data_Li2RuC2
_chemical_formula_sum 'Li4 Ru2 C4'
_space_group_name_H-M_alt 'P 4/m b m'
_space_group_IT_number 127
_space_group_name_Hall '-P 4 2ab'
_cell_length_a 5.212
_cell_length_b 5.212
_cell_length_c 3.467
_cell_angle_alpha 90.00
_cell_angle_beta 90.00
_cell_angle_gamma 90.00
loop_
_atom_site_label
_atom_site_type_symbol
_atom_site_fract_x
_atom_site_fract_y
_atom_site_fract_z
Li1 Li 0.183 0.317 0.000
Ru1 Ru 0.000 0.000 0.500
C1 C 0.093 0.593 0.500

=====

[3]
# LiRuC3 PBE relaxed
# - calculated density (g/cm³) = 5.30
# - V (Å³ per cell) = 45.1
# - energy above the lowest structure with this stoichiometry (eV/atom) = 1.097
# - formation enthalpy at 0 K (eV/f.u.) = 14.2
data_LiRuC3
_chemical_formula_sum 'Li1 Ru1 C3'
_space_group_name_H-M_alt 'P m -3 m'
_space_group_IT_number 221
_space_group_name_Hall '-P 4 2 3'
_cell_length_a 3.559
_cell_length_b 3.559
_cell_length_c 3.559
_cell_angle_alpha 90.00
_cell_angle_beta 90.00
_cell_angle_gamma 90.00
loop_
_atom_site_label
_atom_site_type_symbol
_atom_site_fract_x
_atom_site_fract_y
_atom_site_fract_z
Li1 Li 0.000 0.000 0.000
Ru1 Ru 0.500 0.500 0.500
C1 C 0.000 0.000 0.500

=====

[4]
# Li2RuC PBE relaxed
# - calculated density (g/cm³) = 4.51
# - V (Å³ per cell) = 186.9
# - formation enthalpy at 0 K (eV/f.u.) = 1.8
data_Li2RuC
_chemical_formula_sum 'Li8 Ru4 C4'
_space_group_name_H-M_alt 'I -4 2 d'
_space_group_IT_number 122
_space_group_name_Hall 'I -4 2bw'
_cell_length_a 6.883
_cell_length_b 6.883
_cell_length_c 3.944
_cell_angle_alpha 90.00
_cell_angle_beta 90.00
_cell_angle_gamma 90.00
loop_
_atom_site_label
_atom_site_type_symbol
_atom_site_fract_x
_atom_site_fract_y
_atom_site_fract_z
Li1 Li 0.163 0.250 0.125
Ru1 Ru 0.000 0.000 0.500
C1 C 0.000 0.000 0.000

=====

What is the V in the second record?
94.2 Å³ per cell